VASP calculation (PBE) on an optimized crystal structure of LaTa2Ni.

Calculated values
ΔE_f: 0.437 eV/atom
Electronic total energy: -8.17 eV/atom

The structure in POSCAR format:
```
LaTa2Ni
1.0
3.176 0.000 0.000
0.000 5.104 0.000
-0.735 0.000 4.908
La Ta Ni
1 2 1
Direct
0.000 0.000 0.000
0.290 0.500 0.729
0.710 0.500 0.271
0.500 0.000 0.500
```